Entry from Alexandria via LeMat-Bulk: a relaxed KHf3Ti crystal (PBE).

Lattice parameters (Å, degrees): 4.848 4.848 4.848 90.00 90.00 90.00
Each line ends with the local moment (μB).
Element x y z (fractional)
K: 0.000 0.000 0.000  0.15
Hf: 0.000 0.500 0.000  0.17
Hf: 0.000 0.000 0.500  0.23
Hf: 0.500 0.000 0.000  0.09
Ti: 0.500 0.500 0.500  0.49

As for the formation energy from the elements: 2.134 eV per atom. As for the energy above the lowest structure with this stoichiometry: 1019 meV per atom. The value obtained for the total moment is 1.40 μB/cell. The density of states at the Fermi level is 8.28 states/eV/cell.